Record 1
The following is a DFT calculation (PBE-GGA) of an optimized crystal structure of K5Tl2Sn4.

abc: 7.0305 8.5182 9.9120
angles: 51.81 69.23 65.63
Fractional coordinates of all 11 atoms:
Sn 0.3963 0.8357 0.3718
Sn 0.2347 0.2444 0.2863
Sn 0.7653 0.7556 0.7137
Sn 0.6037 0.1643 0.6282
Tl 0.2104 0.8936 0.6855
Tl 0.7896 0.1064 0.3145
K 0.6236 0.3000 0.9205
K 0.0000 0.5000 0.5000
K 0.8440 0.7000 0.0795
K 0.3764 0.7000 0.0795
K 0.1560 0.3000 0.9205

Output
**DFT total energy**: -2.412 eV/atom
**Volume**: 420.8 Å³/cell
**Space group**: C2/m
**Density of states at the Fermi level**: 4.75 states/eV/cell


Record 2
The following is a DFT calculation (PBE-GGA) of an optimized crystal structure of Ho2ScAl.

abc: 4.5677 4.6701 4.6701
angles: 90.00 90.00 90.00
Fractional coordinates of all 4 atoms:
Al 0.5000 0.5000 0.5000
Ho 0.0000 0.5000 0.0000
Ho 0.0000 0.0000 0.5000
Sc 0.5000 0.0000 0.0000

Output
**DFT total energy**: -5.007 eV/atom
**Volume**: 99.6 Å³/cell
**Energy above the lowest structure with this stoichiometry**: 2 meV per atom
**Space group**: P4/mmm
**Density of states at the Fermi level**: 5.12 states/eV/cell


Record 3
The following is a DFT calculation (PBE-GGA) of an optimized crystal structure of Pr2NdY.

abc: 3.6893 3.6893 12.1039
angles: 81.21 81.21 59.99
Fractional coordinates of all 4 atoms:
Y 0.4998 0.4998 0.5001
Pr 0.0846 0.0846 0.7470
Pr 0.2488 0.2488 0.2550
Nd 0.6668 0.6668 0.9979

Output
**DFT total energy**: -5.185 eV/atom
**Volume**: 140.4 Å³/cell
**Energy above the lowest structure with this stoichiometry**: 1 meV per atom
**Space group**: Cm
**Density of states at the Fermi level**: 6.24 states/eV/cell


Record 4
The following is a DFT calculation (PBE-GGA) of an optimized crystal structure of Sc11In9Au4.

abc: 3.4779 12.7726 12.7726
angles: 112.81 90.00 90.00
Fractional coordinates of all 24 atoms:
In 0.5000 0.7873 0.9357
In 0.5000 0.6329 0.1521
In 0.5000 0.2127 0.0643
In 0.5000 0.3671 0.8479
In 0.5000 0.1521 0.6329
In 0.5000 0.0643 0.2127
In 0.5000 0.5000 0.5000
In 0.5000 0.8479 0.3671
In 0.5000 0.9357 0.7873
Au 0.5000 0.4486 0.2469
Au 0.5000 0.7531 0.5514
Au 0.5000 0.5514 0.7531
Au 0.5000 0.2469 0.4486
Sc 0.0000 0.9358 0.5878
Sc 0.0000 0.6306 0.3694
Sc 0.0000 0.8404 0.1596
Sc 0.0000 0.5878 0.9358
Sc 0.0000 0.4122 0.0642
Sc 0.0000 0.0000 0.0000
Sc 0.0000 0.3694 0.6306
Sc 0.0000 0.0642 0.4122
Sc 0.0000 0.1596 0.8404
Sc 0.0000 0.6975 0.6975
Sc 0.0000 0.3025 0.3025

Output
**DFT total energy**: -5.054 eV/atom
**Volume**: 523.0 Å³/cell
**Space group**: Cmmm
**Density of states at the Fermi level**: 14.94 states/eV/cell


Record 5
The following is a DFT calculation (PBE-GGA) of an optimized crystal structure of SbOs2S.

abc: 5.5011 5.5011 6.8087
angles: 66.17 66.17 90.00
Fractional coordinates of all 8 atoms:
Sb 0.7500 0.2500 0.5000
Sb 0.0000 0.0000 0.0000
Os 0.3750 0.4342 0.7500
Os 0.1842 0.6250 0.2500
Os 0.8750 0.8158 0.7500
Os 0.5658 0.1250 0.2500
S 0.2500 0.7500 0.5000
S 0.5000 0.5000 0.0000

Output
**DFT total energy**: -7.172 eV/atom
**Volume**: 169.1 Å³/cell
**Energy above the lowest structure with this stoichiometry**: 0 meV per atom
**Space group**: I-42d
**Density of states at the Fermi level**: 2.51 states/eV/cell


Record 6
The following is a DFT calculation (PBE-GGA) of an optimized crystal structure of Pr2VN3.

abc: 5.4406 6.7874 11.0026
angles: 90.00 90.00 113.63
Fractional coordinates of all 24 atoms:
V 0.2500 0.5000 0.1392
V 0.7500 0.5000 0.3608
V 0.2500 0.5000 0.6392
V 0.7500 0.5000 0.8608
N 0.4028 0.8056 0.6021
N 0.5972 0.1943 0.8978
N 0.5000 0.5000 0.2500
N 0.5972 0.1944 0.3979
N 0.9028 0.8057 0.3978
N 0.9028 0.8056 0.8979
N 0.0972 0.1944 0.1021
N 0.0972 0.1943 0.6022
N 0.5000 0.5000 0.7500
N 0.4028 0.8057 0.1022
N 0.0000 0.5000 0.7500
N 0.0000 0.5000 0.2500
Pr 0.1015 0.2031 0.3783
Pr 0.6015 0.2031 0.1217
Pr 0.3985 0.7969 0.8783
Pr 0.8985 0.7969 0.6217
Pr 0.1015 0.2030 0.8783
Pr 0.3985 0.7970 0.3783
Pr 0.6015 0.2030 0.6217
Pr 0.8985 0.7970 0.1217

Output
**DFT total energy**: -8.501 eV/atom
**Volume**: 372.2 Å³/cell
**Energy above the lowest structure with this stoichiometry**: 0 meV per atom
**Space group**: Cmme
**Density of states at the Fermi level**: 8.33 states/eV/cell


Record 7
The following is a DFT calculation (PBE-GGA) of an optimized crystal structure of Sc3TcSn.

abc: 3.1971 7.5974 8.8009
angles: 90.00 89.99 90.00
Fractional coordinates of all 10 atoms:
Sc 0.0907 0.6732 0.8877
Sc 0.0908 0.9021 0.5881
Sc 0.0903 0.9021 0.1873
Sc 0.0903 0.3225 0.6873
Sc 0.0907 0.5515 0.3877
Sc 0.0909 0.3225 0.0881
Sn 0.5906 0.0363 0.8877
Sn 0.5906 0.1884 0.3877
Tc 0.5907 0.6123 0.6377
Tc 0.5907 0.6123 0.1377

Output
**DFT total energy**: -6.982 eV/atom
**Volume**: 213.8 Å³/cell
**Energy above the lowest structure with this stoichiometry**: 0 meV per atom
**Space group**: Pmma
**Density of states at the Fermi level**: 7.76 states/eV/cell


Record 8
The following is a DFT calculation (PBE-GGA) of an optimized crystal structure of ScAg2Mo.

abc: 10.0172 10.0172 10.0172
angles: 16.66 16.66 16.66
Fractional coordinates of all 4 atoms:
Ag 0.5016 0.5016 0.5016
Ag 0.9984 0.9984 0.9984
Mo 0.2500 0.2500 0.2500
Sc 0.7500 0.7500 0.7500

Output
**DFT total energy**: -5.341 eV/atom
**Volume**: 72.1 Å³/cell
**Energy above the lowest structure with this stoichiometry**: 232 meV per atom
**Space group**: R-3m
**Density of states at the Fermi level**: 3.71 states/eV/cell


Record 9
The following is a DFT calculation (PBE-GGA) of an optimized crystal structure of Fe2PPb.

abc: 3.2203 5.1185 5.1955
angles: 48.86 90.00 90.00
Site moments in Bohr magnetons follow the coordinates.
Fractional coordinates of all 4 atoms:
Fe 0.0000 0.0000 0.0000  2.47
Fe 0.5000 0.5000 0.0000  2.35
Pb 0.0000 0.0000 0.5000  -0.05
P 0.5000 0.5000 0.5000  -0.02

Output
**DFT total energy**: -5.958 eV/atom
**Volume**: 64.5 Å³/cell
**Space group**: P2/m
**Density of states at the Fermi level**: 4.27 states/eV/cell


Record 10
The following is a DFT calculation (PBE-GGA) of an optimized crystal structure of Gd2VHg.

abc: 3.6417 3.6417 7.5486
angles: 90.00 90.00 90.00
Site moments in Bohr magnetons follow the coordinates.
Fractional coordinates of all 4 atoms:
Hg 0.5000 0.5000 0.5000  0.01
Gd 0.0000 0.0000 0.7682  -6.93
Gd 0.0000 0.0000 0.2318  -6.93
V 0.5000 0.5000 0.0000  2.38

Output
**DFT total energy**: -9.442 eV/atom
**Volume**: 100.1 Å³/cell
**Space group**: P4/mmm
**Density of states at the Fermi level**: 3.09 states/eV/cell


Record 11
The following is a DFT calculation (PBE-GGA) of an optimized crystal structure of Y3CdO.

abc: 6.5853 6.5853 7.1503
angles: 90.00 90.00 116.77
Fractional coordinates of all 10 atoms:
O 0.8805 0.1195 0.7500
O 0.1195 0.8805 0.2500
Y 0.0000 0.0000 0.0000
Y 0.5112 0.9880 0.7500
Y 0.9880 0.5112 0.2500
Y 0.0120 0.4888 0.7500
Y 0.0000 0.0000 0.5000
Y 0.4888 0.0120 0.2500
Cd 0.5149 0.4851 0.7500
Cd 0.4851 0.5149 0.2500

Output
**DFT total energy**: -6.094 eV/atom
**Volume**: 276.8 Å³/cell
**Energy above the lowest structure with this stoichiometry**: 296 meV per atom
**Space group**: Cmcm
**Density of states at the Fermi level**: 11.23 states/eV/cell


Record 12
The following is a DFT calculation (PBE-GGA) of an optimized crystal structure of Ce2PrTh6.

abc: 3.5140 3.5140 27.0131
angles: 90.00 90.00 120.00
Fractional coordinates of all 9 atoms:
Th 0.3333 0.6667 0.1142
Th 0.6667 0.3333 0.5616
Th 0.6667 0.3333 0.7767
Th 0.6667 0.3333 0.4384
Th 0.6667 0.3333 0.2233
Th 0.3333 0.6667 0.8858
Ce 0.3333 0.6667 0.6693
Ce 0.3333 0.6667 0.3307
Pr 0.6667 0.3333 0.0000

Output
**DFT total energy**: -6.684 eV/atom
**Volume**: 288.9 Å³/cell
**Space group**: P-6m2
**Density of states at the Fermi level**: 16.23 states/eV/cell


Record 13
The following is a DFT calculation (PBE-GGA) of an optimized crystal structure of LaPr2HoP4.

abc: 4.1736 7.2195 7.2196
angles: 109.42 90.00 90.00
Fractional coordinates of all 8 atoms:
P 0.0000 0.7409 0.2421
P 0.0000 0.2591 0.7579
P 0.5000 0.2559 0.2470
P 0.5000 0.7441 0.7530
Pr 0.0000 0.5000 0.5000
Pr 0.5000 0.0000 0.5000
Ho 0.5000 0.5000 0.0000
La 0.0000 0.0000 0.0000

Output
**DFT total energy**: -6.624 eV/atom
**Volume**: 205.2 Å³/cell
**Space group**: P2/m
**Density of states at the Fermi level**: 0.76 states/eV/cell


Record 14
The following is a DFT calculation (PBE-GGA) of an optimized crystal structure of BaCa2V.

abc: 5.8628 5.8628 5.8628
angles: 60.00 60.00 60.00
Site moments in Bohr magnetons follow the coordinates.
Fractional coordinates of all 4 atoms:
Ca 0.7500 0.7500 0.7500  0.07
Ca 0.2500 0.2500 0.2500  0.07
Ba 0.5000 0.5000 0.5000  0.07
V 0.0000 0.0000 0.0000  2.96

Output
**DFT total energy**: -3.203 eV/atom
**Volume**: 142.5 Å³/cell
**Energy above the lowest structure with this stoichiometry**: 0 meV per atom
**Space group**: Fm-3m
**Density of states at the Fermi level**: 5.63 states/eV/cell


Record 15
The following is a DFT calculation (PBE-GGA) of an optimized crystal structure of Nd5Si2Ge.

abc: 7.8368 7.8368 8.9232
angles: 116.05 116.05 90.00
Site moments in Bohr magnetons follow the coordinates.
Fractional coordinates of all 16 atoms:
Ge 0.7500 0.7500 0.5000  -0.01
Ge 0.2500 0.2500 0.5000  -0.01
Nd 0.8212 0.9682 0.2893  0.04
Nd 0.0000 0.0000 0.0000  0.14
Nd 0.5318 0.6788 0.7107  0.04
Nd 0.0318 0.5318 0.7107  0.04
Nd 0.4682 0.3212 0.2893  0.04
Nd 0.9682 0.4682 0.2893  0.04
Nd 0.1788 0.0318 0.7107  0.04
Nd 0.6788 0.1788 0.7107  0.04
Nd 0.5000 0.5000 0.0000  0.14
Nd 0.3212 0.8212 0.2893  0.04
Si 0.3837 0.8837 0.0000  -0.01
Si 0.8837 0.6163 0.0000  -0.01
Si 0.6163 0.1163 0.0000  -0.01
Si 0.1163 0.3837 0.0000  -0.01

Output
**DFT total energy**: -5.547 eV/atom
**Volume**: 429.5 Å³/cell
**Space group**: I4/mcm
**Density of states at the Fermi level**: 16.38 states/eV/cell


Record 16
The following is a DFT calculation (PBE-GGA) of an optimized crystal structure of ErZnCdRh.

abc: 4.7474 4.7474 4.7474
angles: 60.00 60.00 60.00
Fractional coordinates of all 4 atoms:
Cd 0.7500 0.7500 0.7500
Er 0.2500 0.2500 0.2500
Zn 0.0000 0.0000 0.0000
Rh 0.5000 0.5000 0.5000

Output
**DFT total energy**: -3.910 eV/atom
**Volume**: 75.7 Å³/cell
**Space group**: F-43m
**Density of states at the Fermi level**: 2.51 states/eV/cell


Record 17
The following is a DFT calculation (PBE-GGA) of an optimized crystal structure of FeRe3.

abc: 2.7149 7.5788 2.7149
angles: 90.00 90.00 90.00
Site moments in Bohr magnetons follow the coordinates.
Fractional coordinates of all 4 atoms:
Re 0.0000 0.5000 0.0000  0.07
Re 0.5000 0.2327 0.5000  -0.07
Re 0.5000 0.7673 0.5000  -0.07
Fe 0.0000 0.0000 0.0000  0.88

Output
**DFT total energy**: -11.352 eV/atom
**Volume**: 55.9 Å³/cell
**Space group**: P4/mmm
**Density of states at the Fermi level**: 3.51 states/eV/cell


Record 18
The following is a DFT calculation (PBE-GGA) of an optimized crystal structure of NdGaCu3.

abc: 4.9979 8.4122 6.5382
angles: 130.04 112.47 90.00
Fractional coordinates of all 10 atoms:
Ga 0.5000 0.0000 0.0000
Ga 0.0000 0.5000 0.0000
Nd 0.2500 0.2920 0.5000
Nd 0.7500 0.7080 0.5000
Cu 0.7500 0.0785 0.5000
Cu 0.2625 0.7625 0.0250
Cu 0.2375 0.2375 0.9750
Cu 0.2500 0.9215 0.5000
Cu 0.7625 0.7625 0.0250
Cu 0.7375 0.2375 0.9750

Output
**DFT total energy**: -4.231 eV/atom
**Volume**: 182.4 Å³/cell
**Energy above the lowest structure with this stoichiometry**: 0 meV per atom
**Space group**: Imma
**Density of states at the Fermi level**: 5.73 states/eV/cell


Record 19
The following is a DFT calculation (PBE-GGA) of an optimized crystal structure of Sm3Dy2Th2.

abc: 3.6064 11.3573 6.1862
angles: 79.63 72.95 71.51
Fractional coordinates of all 7 atoms:
Sm 0.0000 0.0000 0.0000
Sm 0.4337 0.4236 0.2852
Sm 0.5663 0.5764 0.7148
Dy 0.2914 0.2824 0.8525
Dy 0.7086 0.7176 0.1475
Th 0.1440 0.1396 0.4324
Th 0.8560 0.8604 0.5676

Output
**DFT total energy**: -5.421 eV/atom
**Volume**: 228.7 Å³/cell
**Energy above the lowest structure with this stoichiometry**: 0 meV per atom
**Space group**: P-1
**Density of states at the Fermi level**: 10.17 states/eV/cell


Record 20
The following is a DFT calculation (PBE-GGA) of an optimized crystal structure of HoAlAu.

abc: 3.3483 3.3483 6.0086
angles: 106.18 106.18 90.00
Fractional coordinates of all 3 atoms:
Ho 0.9468 0.9468 0.8936
Au 0.2648 0.2648 0.5295
Al 0.6384 0.6384 0.2768

Output
**DFT total energy**: -4.414 eV/atom
**Volume**: 61.9 Å³/cell
**Space group**: I4mm
**Density of states at the Fermi level**: 2.03 states/eV/cell